Record 1
Here is crystalline CdFe2Pd2 at its relaxed geometry from Alexandria via LeMat-Bulk. Energies are from GGA-PBEsol.

The structure in extended XYZ format:
```
10
Lattice="3.340 0.000 0.000 0.000 3.340 0.000 0.000 0.000 13.550" Properties=species:S:1:pos:R:3 pbc="T T T"
Cd 0.000 0.000 0.000
Cd 1.670 1.670 6.775
Fe 0.000 1.670 3.388
Fe 0.000 1.670 10.163
Fe 1.670 0.000 3.388
Fe 1.670 0.000 10.163
Pd 0.000 0.000 5.341
Pd 0.000 0.000 8.209
Pd 1.670 1.670 1.434
Pd 1.670 1.670 12.116
```

Calculated values
* electronic total energy: -6.0353 eV/atom
* SG: No. 139


Record 2
Here is crystalline SrCdFePd2 at its relaxed geometry from Alexandria via LeMat-Bulk. Energies are from GGA-PBEsol.

The structure in extended XYZ format:
```
5
Lattice="4.730 0.000 0.000 0.000 4.730 0.000 0.000 0.000 4.877" Properties=species:S:1:pos:R:3 pbc="T T T"
Sr 0.000 0.000 0.000
Cd 2.365 2.365 0.000
Fe 2.365 2.365 2.438
Pd 0.000 2.365 2.438
Pd 2.365 0.000 2.438
```

Calculated values
* electronic total energy: -4.6007 eV/atom
* SG: No. 123


Record 3
Here is crystalline CdFePt at its relaxed geometry from Alexandria via LeMat-Bulk. Energies are from GGA-PBEsol.

The structure in extended XYZ format:
```
3
Lattice="2.801 0.000 0.000 -1.400 2.426 0.000 0.000 0.000 6.713" Properties=species:S:1:pos:R:3 pbc="T T T"
Cd 0.000 0.000 0.000
Fe 1.400 0.809 4.433
Pt 0.000 1.617 2.422
```

Calculated values
* electronic total energy: -5.6394 eV/atom
* SG: No. 156


Record 4
Here is crystalline Cd3FePt at its relaxed geometry from Alexandria via LeMat-Bulk. Energies are from GGA-PBEsol.

The structure in extended XYZ format:
```
5
Lattice="5.057 0.000 0.000 0.000 5.057 0.000 0.000 0.000 5.057" Properties=species:S:1:pos:R:3 pbc="T T T"
Cd 0.000 0.000 2.528
Cd 0.000 2.528 0.000
Cd 2.528 0.000 0.000
Fe 2.528 2.528 2.528
Pt 0.000 0.000 0.000
```

Calculated values
* electronic total energy: -3.0645 eV/atom
* SG: No. 221


Question: electronic total energy of number 4 (Cd3FePt)?
Answer: -3.0645 eV/atom